Here is a relaxed structure of SnBiPd2 from the Alexandria database. Energies are from PBE.

Unit cell a=6.196 b=6.196 c=6.196 alpha=104.78 beta=104.78 gamma=119.32
Positions (direct):
Sn1 0.000 0.000 0.000
Sn2 0.750 0.250 0.500
Bi1 0.250 0.750 0.500
Bi2 0.500 0.500 0.000
Pd1 0.104 0.125 0.479
Pd2 0.375 0.896 0.021
Pd3 0.646 0.625 0.521
Pd4 0.875 0.354 0.979

Calculated values
DFT formation energy = -0.38 eV per formula unit
magnetic moment = 0.00 μB/f.u.
total energy = -37.30 eV per cell